1.
## LiPmAsO (PBE-GGA)

Data for a relaxed structure of LiPmAsO.

## Properties
ΔE to the lowest computed polymorph: 0.0026 eV/atom
Total magnetization: 0.00 μB/cell

Unit cell a=3.9143 b=3.9143 c=9.7148 alpha=90.00 beta=90.00 gamma=90.00
Space group P4/nmm (No. 129, origin choice 2)
Unique sites:
Li (0.2500, 0.7500, 0.0000) [2 per cell]
Pm (0.2500, 0.2500, 0.3761) [2 per cell]
As (0.2500, 0.2500, 0.8187) [2 per cell]
O (0.2500, 0.7500, 0.5000) [2 per cell]

---

2.
## La2Mg4AgIr (PBE-GGA)

Data for a relaxed structure of La2Mg4AgIr.

## Properties
Calculated total energy: -30.615 eV/f.u.
Total magnetization: 0.01 μB/cell

Unit cell a=8.4070 b=4.3400 c=10.5258 alpha=90.00 beta=90.00 gamma=90.00
Space group Amm2 (No. 38)
Unique sites:
La (0.0000, 0.0000, 0.0000) [2 per cell]
La (0.5000, 0.0000, 0.1243) [2 per cell]
Mg (0.2059, 0.0000, 0.7122) [4 per cell]
Mg (0.3136, 0.0000, 0.4071) [4 per cell]
Ag (0.0000, 0.0000, 0.2880) [2 per cell]
Ir (0.5000, 0.0000, 0.8352) [2 per cell]

---

3.
## TbCoSn (PBE-GGA)

Data for a relaxed structure of TbCoSn.

## Properties
Calculated total energy: -17.210 eV/f.u.
Total magnetization: 0.78 μB/cell

Unit cell a=7.3456 b=4.5861 c=7.2585 alpha=90.00 beta=90.00 gamma=90.00
Space group Pnma (No. 62)
Unique sites:
Tb (0.0249, 0.2500, 0.1972) [4 per cell]
Co (0.1518, 0.7500, 0.4402) [4 per cell]
Sn (0.2008, 0.2500, 0.6094) [4 per cell]